1.
The following is a DFT calculation (PBE) of AgO3F12 after structural relaxation.

Cell and atoms, written as extended XYZ:
```
32
Lattice="3.981 2.298 10.342 -3.981 2.298 10.342 0.000 -4.597 10.342" Properties=species:S:1:pos:R:3 pbc="T T T"
Ag 0.000 0.000 0.000
Ag 0.000 0.000 15.514
O -2.702 -0.074 12.926
O -1.279 -2.373 18.097
O 1.415 -2.303 12.926
O -1.415 2.294 18.097
O 1.286 2.377 12.926
O 2.694 0.079 18.097
F -1.338 -1.206 8.733
F -0.368 -1.769 6.786
F -0.646 -3.136 11.444
F -1.348 1.203 6.786
F -3.040 -1.009 19.583
F -2.393 2.127 11.444
F -0.646 -1.460 14.411
F -1.587 -0.171 16.616
F -0.375 1.762 8.733
F -0.941 1.290 14.411
F 1.713 -0.556 8.733
F 1.716 0.566 6.786
F -1.713 -0.556 24.246
F -1.716 0.566 22.299
F 0.942 -1.289 16.616
F 0.368 -1.769 22.299
F 1.587 0.170 14.411
F 0.646 1.460 16.616
F 2.394 -2.128 19.583
F 3.039 1.009 11.444
F 1.338 -1.206 24.246
F 0.646 3.137 19.583
F 0.375 1.762 24.246
F 1.348 1.203 22.299
```

Properties
The value obtained for the total energy is -2.76 eV/atom.

=====

2.
The following is a DFT calculation (PBE) of Ag12OF6 after structural relaxation.

Cell and atoms, written as extended XYZ:
```
19
Lattice="5.259 3.036 3.454 -5.259 3.036 3.454 0.000 -6.073 3.454" Properties=species:S:1:pos:R:3 pbc="T T T"
Ag -3.544 -2.999 5.387
Ag -4.370 1.570 4.976
Ag -0.669 -1.434 3.946
Ag 0.825 -4.569 4.976
Ag -0.908 1.297 3.946
Ag -1.577 -0.138 6.416
Ag 1.577 0.138 3.946
Ag 0.908 -1.297 6.416
Ag -0.825 4.569 5.387
Ag 0.669 1.434 6.416
Ag 4.370 -1.570 5.387
Ag 3.544 2.999 4.976
O 0.000 0.000 0.000
F -1.801 -3.361 3.915
F -3.811 -0.121 6.448
F -2.010 3.240 3.915
F 2.010 -3.240 6.448
F 3.811 0.121 3.915
F 1.801 3.361 6.448
```

Properties
The value obtained for the total energy is -3.24 eV/atom.

=====

3.
The following is a DFT calculation (PBE) of AgO2F4 after structural relaxation.

Cell and atoms, written as extended XYZ:
```
7
Lattice="3.334 0.000 0.000 -0.274 4.456 0.000 -1.194 -0.614 7.916" Properties=species:S:1:pos:R:3 pbc="T T T"
Ag 0.000 0.000 0.000
O -0.032 3.392 3.944
O 1.897 0.451 3.972
F -0.014 2.933 2.635
F 0.196 2.914 7.033
F 1.670 0.928 0.883
F 1.880 0.910 5.281
```

Properties
The value obtained for the total energy is -3.10 eV/atom.

=====

4.
The following is a DFT calculation (PBE) of Ag2O4F after structural relaxation.

Cell and atoms, written as extended XYZ:
```
14
Lattice="6.216 0.000 0.000 0.000 6.216 0.000 0.000 0.000 6.037" Properties=species:S:1:pos:R:3 pbc="T T T"
Ag 1.528 1.528 0.000
Ag 1.581 4.636 3.019
Ag 4.636 1.581 3.019
Ag 4.689 4.689 0.000
O 0.696 1.612 3.019
O 1.496 3.804 0.000
O 1.612 0.696 3.019
O 2.412 4.720 0.000
O 3.804 1.496 0.000
O 4.604 5.520 3.019
O 4.720 2.412 0.000
O 5.520 4.604 3.019
F 0.000 0.000 0.000
F 3.108 3.108 3.019
```

Properties
The value obtained for the total energy is -4.01 eV/atom.

=====

N(E_F) per entry: 20.79 1.35 3.62 2.27 states/eV per cell
Mass density per entry: 2.245 7.147 3.048 4.253 g cm⁻³
E_form (uncorrected) per entry: -0.25 -0.59 -0.21 -0.09 eV per atom